PBE with a Hubbard U Li2PuCo2O6, relaxed; space-group type = No. 12; crystal system = monoclinic; uncorrected energy = -78.440 eV/cell
1.0
2.849 -4.437 0.000
2.849 4.437 0.000
-2.341 0.000 4.866
Li Pu Co O
2 1 2 6
Cartesian
2.849 3.045 0.000
2.849 -3.045 0.000
2.849 0.000 0.000
1.679 1.589 2.433
1.679 -1.589 2.433
-0.133 1.551 3.635
1.081 0.000 1.094
-0.133 -1.551 3.635
3.491 1.551 1.231
2.277 0.000 3.772
3.491 -1.551 1.231